Entry 1:
Material: LiLa5In4
Method: DFT, PBE
State: optimized geometry

```
LiLa5In4
1.0
3.906 0.000 0.000
0.000 3.906 0.000
0.000 0.000 20.204
Li La In
1 5 4
Direct
0.000 0.000 0.000
0.500 0.500 0.102
0.500 0.500 0.300
0.500 0.500 0.500
0.500 0.500 0.700
0.500 0.500 0.898
0.000 0.000 0.196
0.000 0.000 0.400
0.000 0.000 0.600
0.000 0.000 0.804
```

Energy of formation from the pure elements ... -0.40 eV per atom

---

Entry 2:
Material: LiHf2H
Method: DFT, PBE
State: optimized geometry

```
LiHf2H
1.0
-3.198 3.198 3.093
3.198 -3.198 3.093
3.198 3.198 -3.093
Li Hf H
2 4 2
Direct
0.000 0.000 0.000
0.750 0.250 0.500
0.214 0.625 0.089
0.375 0.464 0.589
0.536 0.125 0.911
0.875 0.786 0.411
0.250 0.750 0.500
0.500 0.500 0.000
```

Polymorph energy (0 for the lowest one) ... 21.3 meV per atom